Run P
Density functional theory data (PBE) for a relaxed As2IrRh crystal.

Properties
Magnetic moment (Bohr magnetons per cell): 0.0
Calculated volume (A^3/atom): 15.5
Calculated density (g cm⁻³): 11.94

Lattice parameters (Å, degrees): 3.741 3.741 8.841 90.00 90.00 90.00
Element x y z (fractional)
As 0.000 0.000 0.000
As 0.000 0.500 0.250
As 0.500 0.000 0.750
As 0.500 0.500 0.500
Ir 0.000 0.500 0.750
Ir 0.500 0.000 0.250
Rh 0.000 0.000 0.500
Rh 0.500 0.500 0.000

***

Run Q
Density functional theory data (PBE) for a relaxed As2IrRh crystal.

Properties
Magnetic moment (Bohr magnetons per cell): 0.0
Calculated volume (A^3/atom): 15.4
Calculated density (g cm⁻³): 11.97

Lattice parameters (Å, degrees): 3.046 3.320 6.105 90.00 90.00 90.00
Element x y z (fractional)
As 0.000 0.000 0.249
As 0.000 0.000 0.751
Ir 0.500 0.500 0.500
Rh 0.500 0.500 0.000

***

Relative calculated energies, zero for the most stable structure, unit meV per atom: run P 54; run Q 0.